Record 1
CaCeCdRu: optimized geometry, PBE.

- space-group type = F-43m
- theoretical density (Mg/m³) = 7.01
- energy of formation from the pure elements (eV/f.u.) = -0.17
- N(E_F) (states/eV per atom) = 1.581
- calculated total energy (eV for the cell shown) = -18.3

a = 5.091 Å, b = 5.091 Å, c = 5.091 Å
α = 60.00°, β = 60.00°, γ = 60.00°
Site moments in Bohr magnetons follow the coordinates.
Fractional positions:
Cd: 0.250 0.250 0.250  0.01
Ca: 0.500 0.500 0.500  0.00
Ce: 0.000 0.000 0.000  0.23
Ru: 0.750 0.750 0.750  -0.06

Record 2
SrRuO6: optimized geometry, PBE.

- space-group type = R-3m
- theoretical density (Mg/m³) = 4.51
- N(E_F) (states/eV per atom) = 0.717
- formation energy from raw total energies (eV per atom) = -0.742
- calculated total energy (eV for the cell shown) = -46.6

a = 4.746 Å, b = 4.746 Å, c = 4.746 Å
α = 96.34°, β = 96.34°, γ = 96.34°
Site moments in Bohr magnetons follow the coordinates.
Fractional positions:
O: 0.775 0.404 0.775  0.31
Sr: 0.000 0.000 0.000  -0.01
O: 0.225 0.596 0.225  0.31
O: 0.225 0.225 0.596  0.31
Ru: 0.500 0.500 0.500  -0.27
O: 0.404 0.775 0.775  0.31
O: 0.775 0.775 0.404  0.31
O: 0.596 0.225 0.225  0.31

Record 3
HgRu3: optimized geometry, PBE.

- space-group type = Cmcm
- theoretical density (Mg/m³) = 13.30
- energy of formation from the pure elements (eV/f.u.) = 2.33
- N(E_F) (states/eV per atom) = 0.914
- calculated total energy (eV for the cell shown) = -51.6

a = 5.635 Å, b = 5.635 Å, c = 4.573 Å
α = 90.00°, β = 90.00°, γ = 119.92°
Site moments in Bohr magnetons follow the coordinates.
Fractional positions:
Hg: 0.666 0.334 0.250  0.04
Hg: 0.334 0.666 0.750  0.04
Ru: 0.160 0.840 0.250  1.01
Ru: 0.840 0.160 0.750  1.01
Ru: 0.159 0.319 0.250  1.01
Ru: 0.841 0.681 0.750  1.01
Ru: 0.319 0.159 0.750  1.01
Ru: 0.681 0.841 0.250  1.01

Record 4
NdSmCuIr: optimized geometry, PBE.

- space-group type = F-43m
- theoretical density (Mg/m³) = 10.27
- energy of formation from the pure elements (eV/f.u.) = -1.76
- N(E_F) (states/eV per atom) = 0.882
- relative energy among the computed polymorphs (meV per atom) = 43.1
- calculated total energy (eV for the cell shown) = -24.2

a = 5.012 Å, b = 5.012 Å, c = 5.012 Å
α = 60.00°, β = 60.00°, γ = 60.00°
Fractional positions:
Ir: 0.750 0.750 0.750
Sm: 0.000 0.000 0.000
Nd: 0.500 0.500 0.500
Cu: 0.250 0.250 0.250

Question: Which value of calculated total energy does entry 3 give?
Answer: -51.6 eV for the cell shown

Question: What is the theoretical density in the third record?
Answer: 13.30 Mg/m³

Question: Among the records above, which one has the highest N(E_F)?
Answer: CaCeCdRu

Question: Number 4 is which compound?
Answer: NdSmCuIr